# 1
The following is a GGA-PBE calculation of crystalline AcOF at its relaxed geometry, from the Alexandria database.

Computed properties:
Formation energy (no corrections) ... -10.57 eV per formula unit
Offset from the most stable computed form ... 315 meV per atom

a b c (Å): 3.9908 3.9908 5.0002
angles (deg): 90.00 90.00 120.00
Space group P3m1 (No. 156)
Asymmetric unit:
1 Ac 0.0000 0.0000 0.0000
2 O 0.6667 0.3333 0.1443
3 F 0.3333 0.6667 0.7507

***

# 2
The following is a GGA-PBE calculation of crystalline AcDyRhBr at its relaxed geometry, from the Alexandria database.

Computed properties:
Formation energy (no corrections) ... -4.40 eV per formula unit

a b c (Å): 4.1471 4.1471 24.1446
angles (deg): 90.00 90.00 120.00
Space group R3m (No. 160, hexagonal axes)
Asymmetric unit:
1 Ac 0.0000 0.0000 0.0000
2 Dy 0.0000 0.0000 0.2052
3 Rh 0.0000 0.0000 0.5971
4 Br 0.0000 0.0000 0.7790

***

# 3
The following is a GGA-PBE calculation of crystalline CrRePt at its relaxed geometry, from the Alexandria database.

Computed properties:
Offset from the most stable computed form ... 14 meV per atom

a b c (Å): 2.6502 3.8848 8.2454
angles (deg): 90.00 90.00 90.00
Space group Imm2 (No. 44)
Asymmetric unit:
1 Cr 0.0000 0.0000 0.0000
2 Re 0.0000 0.0000 0.3464
3 Pt 0.0000 0.0000 0.6705

***

# 4
The following is a GGA-PBE calculation of crystalline Al2TlAg at its relaxed geometry, from the Alexandria database.

a b c (Å): 3.2049 4.7953 5.5895
angles (deg): 90.00 99.27 90.00
Space group P2/m (No. 10)
Asymmetric unit:
1 Al 0.1460 0.0000 0.2746
2 Tl 0.5000 0.5000 0.0000
3 Ag 0.0000 0.5000 0.5000

***

| no. | electronic total energy (hartree per atom) |
| --- | --- |
| 1 | -0.26343 |
| 2 | -0.20336 |
| 3 | -0.34427 |
| 4 | -0.10807 |